## Y4InRh3 (PBE)

Data for an optimized crystal structure of Y4InRh3. Values from VASP.

Summary:
Formation energy from the elements, eV/f.u.: -5.60
Space group: P4/mmm (123)

The structure in Quantum ESPRESSO input format:
```
&SYSTEM
  ibrav = 0, nat = 16, ntyp = 3
/
ATOMIC_SPECIES
Y 88.91 Y.upf
Rh 102.91 Rh.upf
In 114.82 In.upf
ATOMIC_POSITIONS crystal
Y 0.500 0.767 0.000
Y 0.500 0.767 0.500
Y 0.500 0.233 0.000
Y 0.500 0.233 0.500
Y 0.000 0.767 0.750
Y 0.000 0.767 0.250
Y 0.000 0.233 0.250
Y 0.000 0.233 0.750
Rh 0.000 0.000 0.000
Rh 0.000 0.000 0.500
Rh 0.500 0.000 0.750
Rh 0.500 0.000 0.250
Rh 0.500 0.500 0.750
Rh 0.500 0.500 0.250
In 0.000 0.500 0.000
In 0.000 0.500 0.500
CELL_PARAMETERS angstrom
-2.184 -4.387 -0.098
1.153 -0.735 7.175
-8.637 4.259 1.825
```



## LiNb3Ru (PBE)

Data for an optimized crystal structure of LiNb3Ru. Values from VASP.

Summary:
Excess energy over the best structure of this formula in the dataset, kJ per mole of atoms: 0.0
Formation energy from the elements, eV/f.u.: 4.94
Space group: Pm-3m (221)

The structure in Quantum ESPRESSO input format:
```
&SYSTEM
  ibrav = 0, nat = 5, ntyp = 3
/
ATOMIC_SPECIES
Ru 101.07 Ru.upf
Nb 92.91 Nb.upf
Li 6.94 Li.upf
ATOMIC_POSITIONS crystal
Ru 0.000 0.000 0.000
Nb 0.000 0.500 0.000
Nb 0.000 0.000 0.500
Nb 0.500 0.000 0.000
Li 0.500 0.500 0.500
CELL_PARAMETERS angstrom
4.848 0.000 0.000
0.000 4.848 0.000
0.000 0.000 4.848
```



## SmAl2Ag (PBE)

Data for an optimized crystal structure of SmAl2Ag. Values from VASP.

Summary:
Formation energy from the elements, eV/f.u.: -1.05
Space group: P4/mmm (123)

The structure in Quantum ESPRESSO input format:
```
&SYSTEM
  ibrav = 0, nat = 4, ntyp = 3
/
ATOMIC_SPECIES
Ag 107.87 Ag.upf
Sm 150.36 Sm.upf
Al 26.98 Al.upf
ATOMIC_POSITIONS crystal
Ag 0.500 0.500 0.500
Sm 0.500 0.000 0.000
Al 0.000 0.000 0.500
Al 0.000 0.500 0.000
CELL_PARAMETERS angstrom
-2.587 -1.674 3.093
3.539 -1.289 2.262
0.046 3.847 2.121
```



## AcPmCBr (PBE)

Data for an optimized crystal structure of AcPmCBr. Values from VASP.

Summary:
Uncorrected formation energy, eV per atom: -0.801
Space group: R3m (160)

The structure in Quantum ESPRESSO input format:
```
&SYSTEM
  ibrav = 0, nat = 4, ntyp = 4
/
ATOMIC_SPECIES
Ac 227.00 Ac.upf
Pm 145.00 Pm.upf
C 12.01 C.upf
Br 79.90 Br.upf
ATOMIC_POSITIONS crystal
Ac 0.515 0.155 0.685
Pm 0.093 0.945 0.053
C 0.316 0.556 0.888
Br 0.954 0.375 0.344
CELL_PARAMETERS angstrom
-3.864 -0.012 0.294
2.187 -0.344 3.186
1.890 7.867 -0.446
```



## RbCeAg2S4 (PBE)

Data for an optimized crystal structure of RbCeAg2S4. Values from VASP.

Summary:
Uncorrected formation energy, eV per atom: -0.777
Space group: I222 (23)

The structure in Quantum ESPRESSO input format:
```
&SYSTEM
  ibrav = 0, nat = 8, ntyp = 4
/
ATOMIC_SPECIES
Rb 85.47 Rb.upf
Ce 140.12 Ce.upf
Ag 107.87 Ag.upf
S 32.06 S.upf
ATOMIC_POSITIONS crystal
Rb 0.000 0.000 0.000
Ce 0.500 0.500 0.500
Ag 0.249 0.251 0.251
Ag 0.751 0.749 0.749
S 0.482 0.095 0.518
S 0.095 0.905 0.482
S 0.905 0.518 0.095
S 0.518 0.482 0.905
CELL_PARAMETERS angstrom
-2.242 5.992 -2.857
-3.043 0.214 -5.754
-6.226 1.893 0.264
```



## Ca2FePt (PBE)

Data for an optimized crystal structure of Ca2FePt. Values from VASP.

Summary:
Formation energy from the elements, eV/f.u.: -0.44
Space group: P4mm (99)

The structure in Quantum ESPRESSO input format:
```
&SYSTEM
  ibrav = 0, nat = 4, ntyp = 3
/
ATOMIC_SPECIES
Ca 40.08 Ca.upf
Fe 55.84 Fe.upf
Pt 195.08 Pt.upf
ATOMIC_POSITIONS crystal
Ca 0.000 0.000 0.922
Ca 0.500 0.500 0.321
Fe 0.000 0.000 0.574
Pt 0.500 0.500 0.683
CELL_PARAMETERS angstrom
3.452 0.056 0.000
-0.057 3.452 0.000
0.000 0.000 8.286
```



## B2H6Br (PBE)

Data for an optimized crystal structure of B2H6Br. Values from VASP.

Summary:
Excess energy over the best structure of this formula in the dataset, kJ per mole of atoms: 153.7
Space group: Fm-3m (225)

The structure in Quantum ESPRESSO input format:
```
&SYSTEM
  ibrav = 0, nat = 9, ntyp = 3
/
ATOMIC_SPECIES
B 10.81 B.upf
H 1.01 H.upf
Br 79.90 Br.upf
ATOMIC_POSITIONS crystal
B 0.750 0.750 0.750
B 0.250 0.250 0.250
H 0.347 0.653 0.653
H 0.653 0.653 0.347
H 0.653 0.347 0.653
H 0.653 0.347 0.347
H 0.347 0.347 0.653
H 0.347 0.653 0.347
Br 0.000 0.000 0.000
CELL_PARAMETERS angstrom
3.865 0.000 2.231
1.288 3.644 2.231
0.000 0.000 4.463
```



## PmTm4Al2 (PBE)

Data for an optimized crystal structure of PmTm4Al2. Values from VASP.

Summary:
Excess energy over the best structure of this formula in the dataset, kJ per mole of atoms: 0.0
Formation energy from the elements, eV/f.u.: -0.64
Space group: P2_1/c (14)

The structure in Quantum ESPRESSO input format:
```
&SYSTEM
  ibrav = 0, nat = 14, ntyp = 3
/
ATOMIC_SPECIES
Tm 168.93 Tm.upf
Al 26.98 Al.upf
Pm 145.00 Pm.upf
ATOMIC_POSITIONS crystal
Tm 0.837 0.498 0.998
Tm 0.785 0.498 0.498
Tm 0.715 0.998 0.498
Tm 0.663 0.998 0.998
Tm 0.337 0.002 0.002
Tm 0.285 0.002 0.502
Tm 0.215 0.502 0.502
Tm 0.163 0.502 0.002
Al 0.000 0.779 0.455
Al 0.000 0.221 0.545
Al 0.500 0.721 0.545
Al 0.500 0.279 0.455
Pm 0.000 0.000 0.000
Pm 0.500 0.500 0.000
CELL_PARAMETERS angstrom
10.320 0.000 0.000
0.000 5.840 -3.194
0.000 -0.864 6.930
```



## BaNpZn2O8 (PBE)

Data for an optimized crystal structure of BaNpZn2O8. Values from VASP.

Summary:
Uncorrected formation energy, eV per atom: -1.545
Space group: I-4m2 (119)

The structure in Quantum ESPRESSO input format:
```
&SYSTEM
  ibrav = 0, nat = 12, ntyp = 4
/
ATOMIC_SPECIES
Ba 137.33 Ba.upf
Np 237.00 Np.upf
Zn 65.41 Zn.upf
O 16.00 O.upf
ATOMIC_POSITIONS crystal
Ba 0.000 0.000 0.000
Np 0.250 0.750 0.500
Zn 0.750 0.250 0.500
Zn 0.500 0.500 0.000
O 0.394 0.030 0.363
O 0.308 0.520 0.213
O 0.308 0.095 0.787
O 0.667 0.030 0.637
O 0.905 0.692 0.213
O 0.970 0.333 0.363
O 0.970 0.606 0.637
O 0.480 0.692 0.787
CELL_PARAMETERS angstrom
-1.559 -4.118 -4.337
4.889 2.977 -2.332
1.321 -2.724 5.389
```



## ScTi2V (PBE)

Data for an optimized crystal structure of ScTi2V. Values from VASP.

Summary:
Excess energy over the best structure of this formula in the dataset, kJ per mole of atoms: 12.8
Formation energy from the elements, eV/f.u.: 0.94
Space group: P4/mmm (123)

The structure in Quantum ESPRESSO input format:
```
&SYSTEM
  ibrav = 0, nat = 4, ntyp = 3
/
ATOMIC_SPECIES
Sc 44.96 Sc.upf
Ti 47.87 Ti.upf
V 50.94 V.upf
ATOMIC_POSITIONS crystal
Sc 0.500 0.500 0.500
Ti 0.000 0.000 0.500
Ti 0.000 0.500 0.000
V 0.500 0.000 0.000
CELL_PARAMETERS angstrom
-1.093 0.954 -3.858
-1.541 -3.817 -0.507
-3.690 1.308 1.369
```



## HfAl6Pd (PBE)

Data for an optimized crystal structure of HfAl6Pd. Values from VASP.

Summary:
Formation energy from the elements, eV/f.u.: -2.00
Space group: P4/mmm (123)

The structure in Quantum ESPRESSO input format:
```
&SYSTEM
  ibrav = 0, nat = 8, ntyp = 3
/
ATOMIC_SPECIES
Hf 178.49 Hf.upf
Al 26.98 Al.upf
Pd 106.42 Pd.upf
ATOMIC_POSITIONS crystal
Hf 0.500 0.000 0.000
Al 0.000 0.735 0.265
Al 0.000 0.265 0.735
Al 0.000 0.735 0.735
Al 0.000 0.265 0.265
Al 0.500 0.500 0.000
Al 0.500 0.000 0.500
Pd 0.500 0.500 0.500
CELL_PARAMETERS angstrom
-0.892 2.124 1.843
0.160 -4.381 5.126
6.427 1.649 1.209
```



## Ba4CdHg (PBE)

Data for an optimized crystal structure of Ba4CdHg. Values from VASP.

Summary:
Excess energy over the best structure of this formula in the dataset, kJ per mole of atoms: 58.7
Formation energy from the elements, eV/f.u.: 1.84
Space group: F-43m (216)

The structure in Quantum ESPRESSO input format:
```
&SYSTEM
  ibrav = 0, nat = 6, ntyp = 3
/
ATOMIC_SPECIES
Ba 137.33 Ba.upf
Cd 112.41 Cd.upf
Hg 200.59 Hg.upf
ATOMIC_POSITIONS crystal
Ba 0.875 0.375 0.375
Ba 0.375 0.375 0.875
Ba 0.375 0.875 0.375
Ba 0.375 0.375 0.375
Cd 0.750 0.750 0.750
Hg 0.000 0.000 0.000
CELL_PARAMETERS angstrom
0.000 5.245 5.245
5.245 0.000 5.245
5.245 5.245 0.000
```